1.
10
Lattice="4.5549 -2.6676 0.0000 4.5549 2.6676 0.0000 -2.0759 0.0000 7.5951" Properties=species:S:1:pos:R:3 comment="PBE-GGA Tb2Ni2Pt, optimized geometry" volume_a3_per_atom=18.46 e_above_lowest_polymorph_mev_per_atom=0 dft_energy_ev_per_atom=-6.08 ef_ev_per_atom=-0.702 magnetic_moment_mub_per_atom=0.000 pbc="T T T"
Tb 1.0475 0.7419 1.1401
Tb 0.0095 -0.7419 4.9377
Tb 7.0243 0.7419 2.6574
Tb 5.9864 -0.7419 6.4550
Ni 2.2890 0.7113 3.8059
Ni 3.3270 -0.7113 0.0084
Ni 3.7069 0.7113 7.5868
Ni 4.7448 -0.7113 3.7892
Pt 4.0359 0.9723 1.8988
Pt 2.9979 -0.9723 5.6963

2.
24
Lattice="11.5168 0.0000 0.0000 0.0000 4.0046 0.0000 0.0000 0.0000 11.4137" Properties=species:S:1:pos:R:3 comment="PBE-GGA Tb3Ni2Pt, optimized geometry" volume_a3_per_atom=21.93 dft_energy_ev_per_atom=-5.86 ef_ev_per_atom=-0.612 magnetic_moment_mub_per_atom=0.000 pbc="T T T"
Tb 0.6409 1.0011 1.3885
Tb 1.4103 3.0034 6.4261
Tb 2.3587 1.0011 9.3132
Tb 3.3997 3.0034 3.6064
Tb 4.3481 1.0011 0.7192
Tb 5.1175 3.0034 7.0954
Tb 6.3993 1.0011 4.3183
Tb 7.1687 3.0034 10.6944
Tb 8.1171 1.0011 7.8073
Tb 9.1581 3.0034 2.1004
Tb 10.1065 1.0011 4.9876
Tb 10.8759 3.0034 10.0251
Ni 0.0819 3.0034 3.4450
Ni 2.0867 3.0034 11.3684
Ni 3.6717 1.0011 5.6615
Ni 5.6766 1.0011 9.1518
Ni 5.8403 3.0034 2.2618
Ni 7.8451 3.0034 5.7521
Ni 9.4301 1.0011 0.0453
Ni 11.4350 1.0011 7.9687
Pt 1.4244 1.0011 4.2727
Pt 4.3340 3.0034 9.9795
Pt 7.1828 1.0011 1.4341
Pt 10.0925 3.0034 7.1409

3.
13
Lattice="-4.4172 4.4172 2.5404 4.4172 -4.4172 2.5404 4.4172 4.4172 -2.5404" Properties=species:S:1:pos:R:3 comment="PBE-GGA TbNi4Pt8, optimized geometry" volume_a3_per_atom=15.25 dft_energy_ev_per_atom=-6.19 ef_ev_per_atom=-0.333 magnetic_moment_mub_per_atom=0.348 pbc="T T T"
Tb 0.0000 0.0000 0.0000
Ni 2.2086 2.2086 -1.2702
Ni 2.2086 -2.2086 1.2702
Ni -2.2086 2.2086 1.2702
Ni 2.2086 2.2086 1.2702
Pt 3.0165 0.0000 0.0000
Pt 5.8178 0.0000 0.0000
Pt 4.4172 2.4759 0.0000
Pt 0.0000 3.0165 0.0000
Pt 2.4759 4.4172 0.0000
Pt 1.9413 0.0000 2.5404
Pt 0.0000 5.8178 0.0000
Pt 0.0000 1.9413 2.5404

4.
16
Lattice="-3.7389 3.7389 6.6212 3.7389 -3.7389 6.6212 3.7389 3.7389 -6.6212" Properties=species:S:1:pos:R:3 comment="PBE-GGA Tb5Ni2Pt, optimized geometry" volume_a3_per_atom=23.14 dft_energy_ev_per_atom=-5.64 ef_ev_per_atom=-0.542 magnetic_moment_mub_per_atom=0.000 pbc="T T T"
Tb 0.0000 0.0000 0.0000
Tb 4.9900 1.2510 -1.8601
Tb 1.2510 2.4879 -1.8601
Tb 4.9900 1.2510 1.8601
Tb 1.2510 2.4879 1.8601
Tb 0.0000 0.0000 6.6212
Tb 2.4879 1.2510 4.7611
Tb -1.2510 2.4879 4.7611
Tb 2.4879 1.2510 8.4813
Tb -1.2510 2.4879 8.4813
Ni 2.8162 0.9228 0.0000
Ni 2.8162 -0.9228 6.6212
Ni 0.9228 4.6617 0.0000
Ni 0.9228 2.8162 6.6212
Pt 0.0000 0.0000 3.3106
Pt 0.0000 0.0000 9.9318

5.
11
Lattice="4.2348 -6.2273 0.0000 4.2348 6.2273 0.0000 -2.0693 0.0000 5.7567" Properties=species:S:1:pos:R:3 comment="PBE-GGA Tb8NiPt2, optimized geometry" volume_a3_per_atom=27.60 dft_energy_ev_per_atom=-5.43 ef_ev_per_atom=-0.436 magnetic_moment_mub_per_atom=0.000 pbc="T T T"
Tb 0.0000 0.0000 0.0000
Tb 0.0849 1.6314 3.2232
Tb 2.5927 2.5628 1.0618
Tb 0.0849 -1.6314 3.2232
Tb 3.1678 1.6289 4.5293
Tb 2.5927 -2.5628 1.0618
Tb 3.1678 -1.6289 4.5293
Tb 5.2438 0.0000 2.1221
Ni 2.2485 0.0000 2.2113
Pt 1.6243 3.9385 3.9238
Pt 1.6243 -3.9385 3.9238

6.
14
Lattice="-4.4196 4.4210 4.3770 4.4196 -4.4210 4.3770 4.4196 4.4210 -4.3770" Properties=species:S:1:pos:R:3 comment="PBE-GGA Tb4Ni2Pt, optimized geometry" volume_a3_per_atom=24.43 dft_energy_ev_per_atom=-5.64 ef_ev_per_atom=-0.483 magnetic_moment_mub_per_atom=0.000 pbc="T T T"
Tb 2.7463 2.2105 -0.4474
Tb 6.0929 2.2105 -0.4474
Tb 0.0000 0.5395 1.7372
Tb 4.4196 0.5395 2.6397
Tb 0.0000 3.8815 1.7372
Tb 4.4196 3.8815 2.6397
Tb -1.6733 2.2105 4.8244
Tb 1.6733 2.2105 4.8244
Ni 4.4196 0.0000 0.0000
Ni -2.2098 2.2105 2.1885
Ni 0.0000 0.0000 4.3770
Ni 2.2098 2.2105 2.1885
Pt 4.4196 -2.2105 3.2764
Pt 0.0000 6.6315 1.1006

7.
6
Lattice="0.0000 3.4679 3.4679 3.4679 0.0000 3.4679 3.4679 3.4679 0.0000" Properties=species:S:1:pos:R:3 comment="PBE-GGA TbNi4Pt, optimized geometry" volume_a3_per_atom=13.90 dft_energy_ev_per_atom=-6.02 ef_ev_per_atom=-0.391 magnetic_moment_mub_per_atom=0.252 pbc="T T T"
Tb 0.0000 0.0000 0.0000
Ni 2.6096 2.6096 2.6096
Ni 4.3262 4.3262 2.6096
Ni 4.3262 2.6096 4.3262
Ni 2.6096 4.3262 4.3262
Pt 5.2019 5.2019 5.2019

8.
12
Lattice="7.4993 0.0000 0.0000 0.0000 4.0543 0.0000 0.0000 0.0000 6.7371" Properties=species:S:1:pos:R:3 comment="PBE-GGA TbNiPt4, optimized geometry" volume_a3_per_atom=17.07 e_above_lowest_polymorph_mev_per_atom=0 dft_energy_ev_per_atom=-6.32 ef_ev_per_atom=-0.558 magnetic_moment_mub_per_atom=0.142 pbc="T T T"
Tb 1.8748 0.0000 0.9084
Tb 5.6245 0.0000 5.8287
Ni 1.8748 0.0000 4.9814
Ni 5.6245 0.0000 1.7557
Pt 0.0000 0.0000 3.3686
Pt 0.3851 2.0271 5.4510
Pt 1.8748 2.0271 3.0962
Pt 3.3646 2.0271 5.4510
Pt 3.7497 0.0000 3.3686
Pt 4.1347 2.0271 1.2861
Pt 5.6245 2.0271 3.6409
Pt 7.1142 2.0271 1.2861

9.
5
Lattice="-2.1903 2.6121 4.0540 2.1903 -2.6121 4.0540 2.1903 2.6121 -4.0540" Properties=species:S:1:pos:R:3 comment="PBE-GGA Tb2Ni2Pt, optimized geometry" volume_a3_per_atom=18.56 e_above_lowest_polymorph_mev_per_atom=8 dft_energy_ev_per_atom=-6.07 ef_ev_per_atom=-0.694 magnetic_moment_mub_per_atom=0.000 pbc="T T T"
Tb 0.0000 0.0000 1.6510
Tb 0.0000 0.0000 6.4569
Ni 2.1903 1.1948 0.0000
Ni 0.0000 1.4173 4.0540
Pt 0.0000 2.6121 0.0000

10.
10
Lattice="3.8760 0.0000 0.0000 0.0000 7.0067 0.0000 0.0000 0.0000 9.0328" Properties=species:S:1:pos:R:3 comment="PBE-GGA Tb3NiPt, optimized geometry" volume_a3_per_atom=24.53 dft_energy_ev_per_atom=-5.76 ef_ev_per_atom=-0.619 magnetic_moment_mub_per_atom=0.000 pbc="T T T"
Tb 0.9690 0.0559 1.5433
Tb 0.9690 1.7517 5.0154
Tb 0.9690 3.4474 1.5433
Tb 2.9070 3.5593 7.4895
Tb 2.9070 5.2550 4.0174
Tb 2.9070 6.9508 7.4895
Ni 0.9690 1.7517 8.2693
Ni 2.9070 5.2550 0.7635
Pt 0.9690 5.2550 6.0211
Pt 2.9070 1.7517 3.0117

11.
11
Lattice="3.8056 -5.3530 0.0000 3.8056 5.3530 0.0000 0.0000 0.0000 6.8284" Properties=species:S:1:pos:R:3 comment="PBE-GGA Tb7Ni2Pt2, optimized geometry" volume_a3_per_atom=25.29 dft_energy_ev_per_atom=-5.53 ef_ev_per_atom=-0.434 magnetic_moment_mub_per_atom=0.000 pbc="T T T"
Tb 0.0000 0.0000 0.0000
Tb 1.9028 2.6765 1.7798
Tb 1.9028 2.6765 5.0486
Tb 1.9028 -2.6765 1.7798
Tb 1.9028 -2.6765 5.0486
Tb 3.8056 0.0000 1.7398
Tb 3.8056 0.0000 5.0886
Ni 3.8056 2.2470 0.0000
Ni 3.8056 -2.2470 0.0000
Pt 1.4356 0.0000 3.4142
Pt 6.1756 0.0000 3.4142